(1)
Ti3BeCo4 GGA-PBE relaxed; formation energy = -385 meV/atom; magnetic moment = 1.715 μB per cell
1.0
-1.0661 3.2308 -2.2529
-3.8665 0.4468 -1.2248
-3.0231 4.6864 4.4559
Co Ti Be
4 3 1
Direct
0.3753 0.3753 0.8740
0.1239 0.1239 0.6283
0.8761 0.8761 0.3717
0.6247 0.6247 0.1260
0.5000 0.5000 0.5000
0.7433 0.7433 0.7701
0.2567 0.2567 0.2299
0.0000 0.0000 0.0000

***

(2)
PrY2Er2Mg5 GGA-PBE relaxed; formation energy = 75 meV/atom; magnetic moment = 0.000 μB per cell
1.0
-4.4723 -0.6023 2.4107
4.0725 -8.1511 5.5186
3.1911 6.7430 7.6046
Mg Pr Y Er
10 2 4 4
Direct
0.5000 0.0748 0.8011
0.5000 0.5000 0.0000
0.5000 0.1989 0.0748
0.5000 0.9252 0.1989
0.5000 0.8011 0.9252
0.5000 0.3011 0.5748
0.5000 0.4252 0.3011
0.5000 0.0000 0.5000
0.5000 0.6989 0.4252
0.5000 0.5748 0.6989
0.0000 0.0000 0.0000
0.0000 0.5000 0.5000
0.0000 0.3216 0.8216
0.0000 0.8216 0.6784
0.0000 0.6784 0.1784
0.0000 0.1784 0.3216
0.0000 0.6174 0.8826
0.0000 0.3826 0.1174
0.0000 0.1174 0.6174
0.0000 0.8826 0.3826

***

(3)
Zr2TeAsPb GGA-PBE relaxed; E_form (uncorrected) = 915 meV per atom; magnetic moment = 0.473 μB per cell
1.0
-1.3963 -1.3962 -5.1937
2.5580 -4.3405 0.4791
-4.5866 -2.4930 1.9033
Zr As Te Pb
2 1 1 1
Direct
0.0000 0.0000 0.5000
0.5000 0.0000 0.0000
0.0000 0.5000 0.0000
0.5000 0.5000 0.5000
0.0000 0.0000 0.0000

***

(4)
TiCr2Te5 GGA-PBE relaxed; E_form (uncorrected) = -38 meV per atom; magnetic moment = 6.668 μB per cell
1.0
4.9358 0.0000 1.6576
2.4679 6.0432 0.8288
0.2041 0.0000 7.5698
Te Cr Ti
5 2 1
Direct
0.4898 0.2126 0.8078
0.5102 0.7874 0.1922
0.2024 0.7874 0.8078
0.0000 0.5000 0.5000
0.7976 0.2126 0.1922
0.1966 0.5000 0.1067
0.8034 0.5000 0.8933
0.5000 0.5000 0.5000

***

(5)
Gd2CoPb GGA-PBE relaxed; formation energy = -36 meV/atom; ΔE to the lowest computed polymorph = 26.2 kJ per mole of atoms; magnetic moment = 14.352 μB per cell
1.0
-1.9613 0.0848 3.2024
-0.2548 -3.0844 2.1285
7.1790 1.6442 6.5560
Co Gd Pb
1 2 1
Direct
0.5000 0.5000 0.5000
0.8865 0.8865 0.3405
0.1135 0.1135 0.6595
0.0000 0.0000 0.0000

***

(6)
KGeBrCl2 GGA-PBE relaxed; E_form (uncorrected) = -1175 meV per atom; magnetic moment = 0.000 μB per cell
1.0
5.2531 0.0000 0.0000
0.0000 5.2531 0.0000
0.0000 0.0000 5.5657
Cl Ge Br K
2 1 1 1
Direct
0.5000 0.0000 0.0000
0.0000 0.5000 0.0000
0.0000 0.0000 0.0000
0.0000 0.0000 0.5000
0.5000 0.5000 0.5000

***

(7)
KZrPb2 GGA-PBE relaxed; formation energy = 255 meV/atom; ΔE to the lowest computed polymorph = 39.3 kJ per mole of atoms; magnetic moment = 0.761 μB per cell
1.0
2.1345 3.6987 3.3951
-3.1953 2.5539 3.6099
0.4554 -1.1222 5.3195
Pb K Zr
2 1 1
Direct
0.2500 0.2500 0.2500
0.7500 0.7500 0.7500
0.0000 0.0000 0.0000
0.5000 0.5000 0.5000

***

(8)
Fe2MoAu GGA-PBE relaxed; formation energy = 272 meV/atom; ΔE to the lowest computed polymorph = 10.7 kJ per mole of atoms; magnetic moment = 0.003 μB per cell
1.0
4.0470 0.0000 0.0000
0.0000 4.0450 0.0000
0.0000 0.0000 3.4219
Mo Fe Au
1 2 1
Direct
0.5000 0.0000 0.5000
0.5000 0.5000 0.0000
0.0000 0.0000 0.0000
0.0000 0.5000 0.5000

***

(9)
Er8Tc2Pd GGA-PBE relaxed; formation energy = -235 meV/atom; ΔE to the lowest computed polymorph = 0.0 kJ per mole of atoms; magnetic moment = 0.000 μB per cell
1.0
4.6924 0.0000 0.0000
0.0000 6.9863 0.1618
-2.3462 -2.7986 8.3849
Tc Er Pd
2 8 1
Direct
0.8168 0.2973 0.6336
0.1832 0.7027 0.3664
0.5989 0.4682 0.1979
0.6707 0.9633 0.3414
0.0307 0.7824 0.0615
0.7933 0.6832 0.5866
0.3293 0.0367 0.6586
0.9693 0.2176 0.9385
0.4011 0.5318 0.8021
0.2067 0.3168 0.4134
0.5000 0.0000 0.0000

***

(10)
Pr2HoTl GGA-PBE relaxed; formation energy = -194 meV/atom; ΔE to the lowest computed polymorph = 0.0 kJ per mole of atoms; magnetic moment = 0.000 μB per cell
1.0
-4.7922 0.9546 1.2903
-1.5197 -1.7419 -4.3557
-0.3780 -4.5182 1.9388
Tl Ho Pr
1 1 2
Direct
0.5000 0.5000 0.5000
0.5000 0.0000 0.0000
0.0000 0.5000 0.0000
0.0000 0.0000 0.5000

***

(11)
MgNi2Te GGA-PBE relaxed; E_form (uncorrected) = 82 meV per atom; ΔE to the lowest computed polymorph = 19.0 kJ per mole of atoms; magnetic moment = 0.000 μB per cell
1.0
-0.9323 -1.4251 3.7793
4.0013 0.2036 1.0638
0.4227 7.2277 5.1030
Ni Te Mg
4 2 2
Direct
0.3750 0.3325 0.7500
0.8750 0.9175 0.7500
0.0825 0.6250 0.2500
0.6675 0.1250 0.2500
0.7500 0.2500 0.5000
0.0000 0.0000 0.0000
0.2500 0.7500 0.5000
0.5000 0.5000 0.0000

***

(12)
LaRe GGA-PBE relaxed; formation energy = 414 meV/atom; ΔE to the lowest computed polymorph = 25.3 kJ per mole of atoms; magnetic moment = 0.000 μB per cell
1.0
1.7872 -7.8030 0.0000
1.7872 7.8030 0.0000
0.0000 0.0000 5.2732
La Re
3 3
Direct
0.0000 0.0000 0.5000
0.1553 0.8447 0.0000
0.8447 0.1553 0.0000
0.6988 0.3012 0.5000
0.3012 0.6988 0.5000
0.5000 0.5000 0.0000

***

(13)
Ba2TiOs3O12 GGA-PBE relaxed; E_form (uncorrected) = -1719 meV per atom; magnetic moment = 0.000 μB per cell
1.0
-1.9538 -6.4165 2.6676
-1.6284 -5.4223 -4.4779
4.4491 -5.6541 -0.5841
O Ti Os Ba
12 1 3 2
Direct
0.6892 0.0714 0.6892
0.3108 0.9286 0.3108
0.0797 0.6688 0.0797
0.0714 0.6892 0.6892
0.9203 0.3312 0.9203
0.9286 0.3108 0.3108
0.3108 0.3108 0.9286
0.0797 0.0797 0.6688
0.6892 0.6892 0.0714
0.6688 0.0797 0.0797
0.3312 0.9203 0.9203
0.9203 0.9203 0.3312
0.0000 0.0000 0.0000
0.0000 0.0000 0.5000
0.5000 0.0000 0.0000
0.0000 0.5000 0.0000
0.3471 0.3471 0.3471
0.6529 0.6529 0.6529

***

(14)
KBaBe2Co GGA-PBE relaxed; formation energy = 1711 meV/atom; magnetic moment = 1.158 μB per cell
1.0
5.9413 0.0000 0.0000
0.0000 5.4069 0.0000
0.0000 0.0000 5.9413
Be K Co Ba
2 1 1 1
Direct
0.5000 0.0000 0.0000
0.0000 0.0000 0.5000
0.5000 0.5000 0.5000
0.0000 0.5000 0.0000
0.0000 0.0000 0.0000

***

(15)
Pr3Sm7Dy GGA-PBE relaxed; formation energy = 227 meV/atom; ΔE to the lowest computed polymorph = 5.8 kJ per mole of atoms; magnetic moment = 0.000 μB per cell
1.0
6.4844 0.0015 0.4182
0.4087 7.7309 1.0809
-0.0236 0.0244 7.8172
Sm Pr Dy
7 3 1
Direct
0.2617 0.4290 0.0867
0.7383 0.9133 0.5710
0.7383 0.5710 0.9133
0.2617 0.0867 0.4290
0.7863 0.2405 0.2405
0.2137 0.7595 0.7595
0.0000 0.5000 0.5000
0.0000 0.8263 0.1737
0.0000 0.1737 0.8263
0.5000 0.0000 0.0000
0.5000 0.5000 0.5000

***

(16)
Be2CuAs GGA-PBE relaxed; formation energy = 177 meV/atom; magnetic moment = 0.000 μB per cell
1.0
-2.4809 -1.9632 2.7749
1.1595 -1.1620 3.8748
-1.0946 3.2318 1.2689
As Be Cu
1 2 1
Direct
0.2500 0.2500 0.2500
0.4335 0.4335 0.7547
0.0665 0.0665 0.7453
0.7500 0.7500 0.7500

***

(17)
PmSmCu3 GGA-PBE relaxed; formation energy = -210 meV/atom; magnetic moment = 0.000 μB per cell
1.0
-3.6945 -0.3320 -0.5220
0.6079 -3.8754 -1.8374
0.7197 -5.5047 11.8484
Cu Pm Sm
6 2 2
Direct
0.3826 0.2500 0.7653
0.5228 0.7500 0.0456
0.6691 0.2500 0.3383
0.3309 0.7500 0.6617
0.6174 0.7500 0.2347
0.4772 0.2500 0.9544
0.0704 0.2500 0.1409
0.9296 0.7500 0.8591
0.7969 0.2500 0.5939
0.2031 0.7500 0.4061

***

(18)
RbIn3Pt2 GGA-PBE relaxed; formation energy = -377 meV/atom; magnetic moment = 0.000 μB per cell
1.0
-3.3668 -0.7788 4.6559
-5.6407 -2.1264 -4.4347
4.0664 -5.9752 1.9411
Rb In Pt
2 6 4
Direct
0.7500 0.6428 0.6428
0.2500 0.3572 0.3572
0.7500 0.0759 0.0759
0.2500 0.9241 0.9241
0.2500 0.5173 0.9168
0.7500 0.0832 0.4827
0.2500 0.9168 0.5173
0.7500 0.4827 0.0832
0.0000 0.1889 0.8111
0.0000 0.8111 0.1889
0.5000 0.1889 0.8111
0.5000 0.8111 0.1889

***

(19)
NaTaCd2 GGA-PBE relaxed; formation energy = 587 meV/atom; ΔE to the lowest computed polymorph = 0.0 kJ per mole of atoms; magnetic moment = 0.000 μB per cell
1.0
0.0000 3.4710 3.4710
3.4710 0.0000 3.4710
3.4710 3.4710 0.0000
Cd Na Ta
2 1 1
Direct
0.2500 0.2500 0.2500
0.7500 0.7500 0.7500
0.0000 0.0000 0.0000
0.5000 0.5000 0.5000

***

(20)
Tl2InTeO8 GGA-PBE relaxed; E_form (uncorrected) = -811 meV per atom; magnetic moment = 1.073 μB per cell
1.0
-4.2765 -1.8744 1.9371
2.1885 0.2680 4.5355
-2.3711 6.2130 0.7770
O Tl In Te
8 2 1 1
Direct
0.6989 0.7018 0.5000
0.3011 0.2982 0.5000
0.8239 0.1784 0.2194
0.1761 0.8216 0.2194
0.2854 0.2833 0.0000
0.1761 0.8216 0.7806
0.8239 0.1784 0.7806
0.7146 0.7167 0.0000
0.5000 0.5000 0.2502
0.5000 0.5000 0.7498
0.0000 0.0000 0.5000
0.0000 0.0000 0.0000